(1)
PBE LiY2NiMo, optimized geometry; energy relative to the elements = 972 meV/atom; E_tot = -5.32 eV per atom; calculated density = 5298 kg/m³; spin magnetization = 1.067 μB per formula unit
1.0
5.034 0.000 0.000
0.000 5.034 0.000
0.000 0.000 4.197
Li Y Ni Mo
1 2 1 1
direct
0.000 0.000 0.000 Li
0.000 0.500 0.000 Y
0.500 0.000 0.000 Y
0.500 0.500 0.500 Ni
0.000 0.000 0.500 Mo

=====

(2)
PBE LaHf2As2, optimized geometry; energy relative to the elements = -758 meV/atom; E_tot = -7.58 eV per atom; calculated density = 9988 kg/m³; spin magnetization = 0.000 μB per formula unit
1.0
7.799 0.000 0.000
0.000 7.799 0.000
0.000 0.000 3.530
La Hf As
2 4 4
direct
0.000 0.000 0.000 La
0.500 0.500 0.000 La
0.147 0.353 0.500 Hf
0.353 0.853 0.500 Hf
0.647 0.147 0.500 Hf
0.853 0.647 0.500 Hf
0.138 0.638 0.000 As
0.362 0.138 0.000 As
0.638 0.862 0.000 As
0.862 0.362 0.000 As

=====

(3)
PBE Sr5TlHg6, optimized geometry; energy relative to the elements = -472 meV/atom; E_tot = -1.52 eV per atom; calculated density = 8159 kg/m³; spin magnetization = 0.000 μB per formula unit
1.0
4.864 -8.422 0.000
4.864 8.422 0.000
-3.187 0.000 4.586
Sr Tl Hg
5 1 6
direct
0.000 0.000 0.000 Sr
0.171 0.829 0.500 Sr
0.343 0.657 0.000 Sr
0.657 0.343 0.000 Sr
0.829 0.171 0.500 Sr
0.500 0.500 0.500 Tl
0.074 0.412 0.244 Hg
0.236 0.236 0.734 Hg
0.412 0.074 0.244 Hg
0.588 0.926 0.756 Hg
0.764 0.764 0.266 Hg
0.926 0.588 0.756 Hg

=====

(4)
PBE Ce2PmNiS5, optimized geometry; uncorrected formation energy = -15.612 eV per formula unit; E_tot = -6.52 eV per atom; calculated density = 5621 kg/m³; spin magnetization = 1.040 μB per formula unit
1.0
1.921 -8.335 0.000
1.921 8.335 0.000
0.000 0.000 11.886
Ce Pm Ni S
4 2 2 10
direct
0.111 0.889 0.500 Ce
0.115 0.885 0.844 Ce
0.885 0.115 0.344 Ce
0.889 0.111 0.000 Ce
0.174 0.826 0.178 Pm
0.826 0.174 0.678 Pm
0.452 0.548 0.564 Ni
0.548 0.452 0.064 Ni
0.010 0.990 0.156 S
0.302 0.698 0.848 S
0.322 0.678 0.506 S
0.343 0.657 0.171 S
0.493 0.507 0.896 S
0.507 0.493 0.396 S
0.657 0.343 0.671 S
0.678 0.322 0.006 S
0.698 0.302 0.348 S
0.990 0.010 0.656 S